(1)
An optimized crystal structure of SrVP2Os, computed with GGA-PBE.

Cell and atoms, written as POSCAR:
```
SrVP2Os
1.0
-1.945 1.945 6.187
1.945 -1.945 6.187
1.945 1.945 -6.187
Sr V P Os
1 1 2 1
Cartesian
0.000 0.000 0.000 Sr
1.945 0.000 3.094 V
0.000 0.000 4.470 P
0.000 0.000 7.905 P
0.000 1.945 3.094 Os
```

Summary:
space group = I-4m2 (119)


(2)
An optimized crystal structure of SrP2OsW, computed with GGA-PBE.

Cell and atoms, written as POSCAR:
```
SrP2OsW
1.0
-2.017 2.017 5.975
2.017 -2.017 5.975
2.017 2.017 -5.975
Sr P Os W
1 2 1 1
Cartesian
0.000 0.000 0.000 Sr
0.000 0.000 4.296 P
0.000 0.000 7.653 P
0.000 2.017 2.987 Os
2.017 0.000 2.987 W
```

Summary:
space group = I-4m2 (119)


(3)
An optimized crystal structure of Ta2POs, computed with GGA-PBE.

Cell and atoms, written as POSCAR:
```
Ta2POs
1.0
4.071 0.000 0.000
0.000 4.071 0.000
0.000 0.000 3.799
Ta P Os
2 1 1
Cartesian
0.000 2.035 0.000 Ta
2.035 0.000 0.000 Ta
0.000 0.000 1.899 P
2.035 2.035 1.899 Os
```

Summary:
space group = P4/mmm (123)


(4)
An optimized crystal structure of Ta2POs, computed with GGA-PBE.

Cell and atoms, written as POSCAR:
```
Ta2POs
1.0
0.000 3.154 3.154
3.154 0.000 3.154
3.154 3.154 0.000
Ta P Os
2 1 1
Cartesian
0.000 0.000 0.000 Ta
1.577 1.577 1.577 Ta
4.731 4.731 4.731 P
3.154 3.154 3.154 Os
```

Summary:
space group = F-43m (216)


(5)
An optimized crystal structure of Ta2POs, computed with GGA-PBE.

Cell and atoms, written as POSCAR:
```
Ta2POs
1.0
1.933 -2.157 0.000
1.933 2.157 0.000
0.000 0.000 7.527
Ta P Os
2 1 1
Cartesian
0.000 0.000 0.000 Ta
1.933 0.000 2.327 Ta
1.933 0.000 5.744 P
0.000 0.000 4.423 Os
```

Summary:
space group = Cmm2 (35)


(6)
An optimized crystal structure of TaP3Os, computed with GGA-PBE.

Cell and atoms, written as POSCAR:
```
TaP3Os
1.0
4.729 0.000 0.000
0.000 4.729 0.000
0.000 0.000 4.729
Ta P Os
1 3 1
Cartesian
0.000 0.000 0.000 Ta
0.000 0.000 2.365 P
0.000 2.365 0.000 P
2.365 0.000 0.000 P
2.365 2.365 2.365 Os
```

Summary:
space group = Pm-3m (221)


(7)
An optimized crystal structure of Ta2POs, computed with GGA-PBE.

Cell and atoms, written as POSCAR:
```
Ta2POs
1.0
3.273 0.000 0.000
0.000 4.182 0.000
0.000 0.000 4.599
Ta P Os
2 1 1
Cartesian
0.000 0.000 0.000 Ta
1.637 0.000 2.299 Ta
0.000 2.091 2.299 P
1.637 2.091 0.000 Os
```

Summary:
space group = Pmmm (47)


(8)
An optimized crystal structure of Ta2POs, computed with GGA-PBE.

Cell and atoms, written as POSCAR:
```
Ta2POs
1.0
2.871 -3.596 0.000
2.871 3.596 0.000
-0.452 0.000 3.080
Ta P Os
2 1 1
Cartesian
1.436 1.798 0.000 Ta
1.436 -1.798 0.000 Ta
-0.226 0.000 1.540 P
2.645 0.000 1.540 Os
```

Summary:
space group = C2/m (12)


(9)
An optimized crystal structure of Ta2POs, computed with GGA-PBE.

Cell and atoms, written as POSCAR:
```
Ta2POs
1.0
2.998 0.000 0.000
0.000 3.193 0.000
-1.048 0.000 6.648
Ta P Os
2 1 1
Cartesian
-0.027 0.000 1.738 Ta
1.977 0.000 4.910 Ta
0.975 1.596 3.324 P
1.499 1.596 0.000 Os
```

Summary:
space group = P2/m (10)


(10)
An optimized crystal structure of Ta2POs, computed with GGA-PBE.

Cell and atoms, written as POSCAR:
```
Ta2POs
1.0
-2.035 2.035 3.800
2.035 -2.035 3.800
2.035 2.035 -3.800
Ta P Os
2 1 1
Cartesian
2.035 0.000 1.900 Ta
0.000 2.035 1.900 Ta
0.000 0.000 0.000 P
0.000 0.000 3.800 Os
```

Summary:
space group = I4/mmm (139)


(11)
An optimized crystal structure of TaP3Os, computed with GGA-PBE.

Cell and atoms, written as POSCAR:
```
TaP3Os
1.0
4.564 0.000 0.000
0.000 4.564 0.000
0.000 0.000 4.564
Ta P Os
1 3 1
Cartesian
0.000 0.000 0.000 Ta
0.000 2.282 2.282 P
2.282 0.000 2.282 P
2.282 2.282 0.000 P
2.282 2.282 2.282 Os
```

Summary:
space group = Pm-3m (221)


(12)
An optimized crystal structure of Ta2POs, computed with GGA-PBE.

Cell and atoms, written as POSCAR:
```
Ta2POs
1.0
-1.675 2.391 3.972
1.675 -2.391 3.972
1.675 2.391 -3.972
Ta P Os
2 1 1
Cartesian
0.000 0.000 1.837 Ta
0.000 0.000 6.107 Ta
1.675 0.000 0.000 P
0.000 2.391 0.000 Os
```

Summary:
space group = Immm (71)


(13)
An optimized crystal structure of Ta2POs, computed with GGA-PBE.

Cell and atoms, written as POSCAR:
```
Ta2POs
1.0
4.549 0.000 0.000
0.000 4.549 0.000
0.000 0.000 3.067
Ta P Os
2 1 1
Cartesian
0.000 2.275 0.000 Ta
2.275 0.000 0.000 Ta
0.000 0.000 1.534 P
2.275 2.275 1.534 Os
```

Summary:
space group = P4/mmm (123)


(14)
An optimized crystal structure of Ta2POs2, computed with GGA-PBE.

Cell and atoms, written as POSCAR:
```
Ta2POs2
1.0
-1.891 1.891 6.563
1.891 -1.891 6.563
1.891 1.891 -6.563
Ta P Os
2 1 2
Cartesian
0.000 0.000 1.518 Ta
0.000 0.000 11.609 Ta
0.000 0.000 6.563 P
1.891 0.000 3.282 Os
0.000 1.891 3.282 Os
```

Summary:
space group = I4/mmm (139)


(15)
An optimized crystal structure of Ta2POs, computed with GGA-PBE.

Cell and atoms, written as POSCAR:
```
Ta2POs
1.0
3.245 0.000 0.000
0.000 3.245 0.000
0.000 0.000 6.195
Ta P Os
2 1 1
Cartesian
0.000 0.000 0.000 Ta
1.623 1.623 1.944 Ta
1.623 1.623 5.145 P
0.000 0.000 3.250 Os
```

Summary:
space group = P4mm (99)


(16)
An optimized crystal structure of Ta2POs, computed with GGA-PBE.

Cell and atoms, written as POSCAR:
```
Ta2POs
1.0
2.825 -3.585 0.000
2.825 3.585 0.000
0.000 0.000 3.124
Ta P Os
2 1 1
Cartesian
1.413 1.792 0.000 Ta
1.413 -1.792 0.000 Ta
0.000 0.000 1.562 P
2.825 0.000 1.562 Os
```

Summary:
space group = Cmmm (65)


(17)
An optimized crystal structure of Ta2POs, computed with GGA-PBE.

Cell and atoms, written as POSCAR:
```
Ta2POs
1.0
3.065 0.000 0.000
0.000 3.065 0.000
0.000 0.000 6.637
Ta P Os
2 1 1
Cartesian
0.000 0.000 1.571 Ta
0.000 0.000 5.066 Ta
1.532 1.532 0.000 P
1.532 1.532 3.318 Os
```

Summary:
space group = P4/mmm (123)


(18)
An optimized crystal structure of Ta2POs, computed with GGA-PBE.

Cell and atoms, written as POSCAR:
```
Ta2POs
1.0
1.463 0.845 8.660
-1.463 0.845 8.660
0.000 -1.690 8.660
Ta P Os
2 1 1
Cartesian
0.000 0.000 0.000 Ta
0.000 0.000 6.121 Ta
0.000 0.000 12.667 P
0.000 0.000 19.621 Os
```

Summary:
space group = R3m (160)


(19)
An optimized crystal structure of Ta2POs, computed with GGA-PBE.

Cell and atoms, written as POSCAR:
```
Ta2POs
1.0
3.124 0.000 0.000
0.000 3.952 0.000
0.000 0.000 5.240
Ta P Os
2 1 1
Cartesian
0.000 0.000 0.000 Ta
1.562 1.976 1.603 Ta
1.562 1.976 4.194 P
0.000 0.000 2.701 Os
```

Summary:
space group = Pmm2 (25)


(20)
An optimized crystal structure of TaPOs4, computed with GGA-PBE.

Cell and atoms, written as POSCAR:
```
TaPOs4
1.0
0.000 3.645 3.645
3.645 0.000 3.645
3.645 3.645 0.000
Ta P Os
1 1 4
Cartesian
0.000 0.000 0.000 Ta
1.822 1.822 1.822 P
4.554 2.735 2.735 Os
2.735 4.554 2.735 Os
2.735 2.735 4.554 Os
4.554 4.554 4.554 Os
```

Summary:
space group = F-43m (216)


(21)
An optimized crystal structure of Ta2POs, computed with GGA-PBE.

Cell and atoms, written as POSCAR:
```
Ta2POs
1.0
3.603 0.000 0.000
0.000 1.588 5.565
0.000 -1.588 5.565
Ta P Os
2 1 1
Cartesian
0.000 0.000 0.000 Ta
1.802 0.000 3.813 Ta
0.000 0.000 8.466 P
1.802 0.000 6.824 Os
```

Summary:
space group = Amm2 (38)


(22)
An optimized crystal structure of Ta2POs, computed with GGA-PBE.

Cell and atoms, written as POSCAR:
```
Ta2POs
1.0
2.929 0.000 0.000
0.000 4.000 0.000
0.000 0.000 5.320
Ta P Os
2 1 1
Cartesian
0.000 0.000 1.324 Ta
0.000 0.000 3.997 Ta
1.464 2.000 0.000 P
1.464 2.000 2.660 Os
```

Summary:
space group = Pmmm (47)


(23)
An optimized crystal structure of Ta4POs, computed with GGA-PBE.

Cell and atoms, written as POSCAR:
```
Ta4POs
1.0
0.000 3.774 3.774
3.774 0.000 3.774
3.774 3.774 0.000
Ta P Os
4 1 1
Cartesian
0.943 0.943 0.943 Ta
2.831 2.831 0.943 Ta
2.831 0.943 2.831 Ta
0.943 2.831 2.831 Ta
5.660 5.660 5.660 P
3.774 3.774 3.774 Os
```

Summary:
space group = F-43m (216)


(24)
An optimized crystal structure of Ta2POs, computed with GGA-PBE.

Cell and atoms, written as POSCAR:
```
Ta2POs
1.0
-1.852 1.852 4.604
1.852 -1.852 4.604
1.852 1.852 -4.604
Ta P Os
2 1 1
Cartesian
0.000 0.000 0.000 Ta
0.000 1.852 2.302 Ta
0.000 0.000 4.604 P
1.852 0.000 2.302 Os
```

Summary:
space group = I-4m2 (119)


(25)
An optimized crystal structure of Ta2POs2, computed with GGA-PBE.

Cell and atoms, written as POSCAR:
```
Ta2POs2
1.0
7.561 0.000 0.000
0.000 7.561 0.000
0.000 0.000 3.012
Ta P Os
4 2 4
Cartesian
1.191 2.589 0.000 Ta
2.589 6.370 0.000 Ta
4.972 1.191 0.000 Ta
6.370 4.972 0.000 Ta
0.000 0.000 0.000 P
3.781 3.781 0.000 P
1.025 4.805 1.506 Os
2.756 1.025 1.506 Os
4.805 6.536 1.506 Os
6.536 2.756 1.506 Os
```

Summary:
space group = P4/mbm (127)


(26)
An optimized crystal structure of Ta2POs, computed with GGA-PBE.

Cell and atoms, written as POSCAR:
```
Ta2POs
1.0
1.619 0.935 7.307
-1.619 0.935 7.307
0.000 -1.869 7.307
Ta P Os
2 1 1
Cartesian
0.000 0.000 5.292 Ta
0.000 0.000 16.630 Ta
0.000 0.000 10.961 P
0.000 0.000 0.000 Os
```

Summary:
space group = R-3m (166)


(27)
An optimized crystal structure of Ta2POs2, computed with GGA-PBE.

Cell and atoms, written as POSCAR:
```
Ta2POs2
1.0
7.524 0.000 0.000
0.000 7.524 0.000
0.000 0.000 3.018
Ta P Os
4 2 4
Cartesian
1.164 2.598 0.000 Ta
2.598 6.360 0.000 Ta
4.926 1.164 0.000 Ta
6.360 4.926 0.000 Ta
0.000 0.000 1.509 P
3.762 3.762 1.509 P
1.039 4.801 1.509 Os
2.723 1.039 1.509 Os
4.801 6.485 1.509 Os
6.485 2.723 1.509 Os
```

Summary:
space group = P4/mbm (127)


(28)
An optimized crystal structure of Ta2POs, computed with GGA-PBE.

Cell and atoms, written as POSCAR:
```
Ta2POs
1.0
-2.710 2.710 6.275
2.710 -2.710 6.275
2.710 2.710 -6.275
Ta P Os
4 2 2
Cartesian
4.065 1.306 -1.569 Ta
1.306 1.355 1.569 Ta
-1.355 1.404 4.706 Ta
1.404 1.355 7.843 Ta
0.000 0.000 0.000 P
0.000 2.710 3.137 P
2.710 0.000 3.137 Os
0.000 0.000 6.275 Os
```

Summary:
space group = I-42d (122)


(29)
An optimized crystal structure of Ta2POs, computed with GGA-PBE.

Cell and atoms, written as POSCAR:
```
Ta2POs
1.0
-1.470 2.238 4.756
1.470 -2.238 4.756
1.470 2.238 -4.756
Ta P Os
2 1 1
Cartesian
0.000 0.000 0.000 Ta
0.000 2.238 1.980 Ta
1.470 0.000 2.239 P
0.000 0.000 4.098 Os
```

Summary:
space group = Imm2 (44)


no.,calculated total energy (eV/atom),energy of formation from the pure elements (eV per formula unit)
1,-7.289,-3.60
2,-7.811,-2.37
3,-10.114,-0.11
4,-9.904,0.73
5,-10.264,-0.71
6,-6.486,6.88
7,-10.194,-0.43
8,-10.298,-0.85
9,-10.391,-1.22
10,-10.157,-0.28
11,-6.732,5.65
12,-10.271,-0.74
13,-10.177,-0.36
14,-9.895,2.10
15,-10.289,-0.81
16,-10.287,-0.80
17,-10.339,-1.01
18,-10.030,0.22
19,-10.196,-0.44
20,-9.707,3.94
21,-10.520,-1.73
22,-10.254,-0.67
23,-10.010,3.99
24,-10.231,-0.58
25,-10.107,1.04
26,-10.155,-0.28
27,-10.202,0.57
28,-9.447,2.56
29,-10.367,-1.12